# 1
The following is a DFT calculation (PBE) of an optimized crystal structure of LaNdTl2.

a b c (Å): 3.943 3.943 7.890
angles (deg): 90.00 90.00 90.00
Space group P4/mmm (No. 123)
One atom of each set of equivalent atoms:
1 La 0.000 0.000 0.000 (multiplicity 1)
2 Nd 0.000 0.000 0.500 (multiplicity 1)
3 Tl 0.500 0.500 0.258 (multiplicity 2)

Summary:
ΔE_f: -0.41 eV/atom
Magnetization: 0.00 Bohr magnetons per cell
Fermi-level density of states: 0.97 states/eV/atom



# 2
The following is a DFT calculation (PBE) of an optimized crystal structure of La3NdTl.

a b c (Å): 5.958 7.760 8.381
angles (deg): 90.00 110.79 90.00
Space group P2_1/m (No. 11)
One atom of each set of equivalent atoms:
1 La 0.112 0.250 0.223 (multiplicity 2)
2 La 0.319 0.002 0.640 (multiplicity 4)
3 Nd 0.121 0.750 0.242 (multiplicity 2)
4 Tl 0.499 0.250 0.996 (multiplicity 2)

Summary:
ΔE_f: -0.06 eV/atom
Energy relative to the lowest polymorph listed for this composition: 0.0968 eV/atom
Magnetization: 0.00 Bohr magnetons per cell
Fermi-level density of states: 1.04 states/eV/atom